The following is a GGA-PBE calculation of a relaxed Ca3TbPa2N6 crystal, from Alexandria via LeMat-Bulk.

Cell lengths 7.8220, 7.8220, 7.0370 Å; angles 102.54, 102.54, 26.32 degrees
Fractional positions:
Ca (0.0000, 0.0000, 0.0000)
Ca (0.3350, 0.3350, 0.6674)
Ca (0.6650, 0.6650, 0.3326)
Tb (0.0000, 0.0000, 0.5000)
Pa (0.3357, 0.3357, 0.1727)
Pa (0.6643, 0.6643, 0.8273)
N (0.1640, 0.1640, 0.6082)
N (0.1758, 0.1758, 0.0601)
N (0.4873, 0.4873, 0.2526)
N (0.5127, 0.5127, 0.7474)
N (0.8242, 0.8242, 0.9399)
N (0.8360, 0.8360, 0.3918)

## Properties
E (eV per cell): -97.39
Raw formation energy (eV per atom): -1.48